# 1
Computed, not measured: a geometry-optimized La4Nd4Y3 structure at the PBE level of DFT.

energy relative to the lowest polymorph listed for this composition = 26 meV/atom
DFT total energy = -5.2438 eV per atom
energy of formation = 0.5 eV per formula unit

Cell: 3.6059 5.8304 18.5795 Å, 80.98 84.43 90.00°
Positions (direct):
1 La 0.0923 0.0916 0.3154
2 La 0.2298 0.7296 0.0404
3 La 0.7702 0.2704 0.9596
4 La 0.9077 0.9084 0.6846
5 Nd 0.0447 0.5439 0.4106
6 Nd 0.1824 0.1820 0.1354
7 Nd 0.8176 0.8180 0.8646
8 Nd 0.9553 0.4561 0.5894
9 Y 0.3636 0.3645 0.7723
10 Y 0.5000 0.0000 0.5000
11 Y 0.6364 0.6355 0.2277

# 2
Computed, not measured: a geometry-optimized Na2SnAsSe structure at the PBE level of DFT.

DFT total energy = -2.5373 eV per atom

Cell: 6.1168 6.1168 5.2247 Å, 90.00 90.00 90.00°
Positions (direct):
1 Na 0.0000 0.5000 0.0000
2 Na 0.5000 0.0000 0.0000
3 Sn 0.0000 0.0000 0.0000
4 As 0.5000 0.5000 0.5000
5 Se 0.0000 0.0000 0.5000